Entry 1:
Below is a geometry-optimized GaMoPdBr2 structure, with properties calculated at the GGA-PBE level.

## Properties
SG = P4/mmm (123)

POSCAR file:
```
GaMoPdBr2
1.0
5.080 0.000 0.000
0.000 5.031 0.000
0.000 0.000 5.080
Pd Br Mo Ga
1 2 1 1
direct
0.000 0.500 0.000
0.000 0.000 0.500
0.500 0.000 0.000
0.000 0.000 0.000
0.500 0.500 0.500
```

***

Entry 2:
Below is a geometry-optimized RbGaMoBr2 structure, with properties calculated at the GGA-PBE level.

## Properties
distance to the lowest polymorph of the same formula = 0.000 eV per atom
SG = P4/mmm (123)

POSCAR file:
```
RbGaMoBr2
1.0
-2.145 4.727 -1.825
1.589 -1.077 -4.658
-4.761 -2.559 -1.033
Rb Ga Br Mo
1 1 2 1
direct
0.500 0.500 0.500
0.000 0.500 0.000
0.000 0.000 0.500
0.500 0.000 0.000
0.000 0.000 0.000
```

***

Entry 3:
Below is a geometry-optimized Rb2GaMoBr6 structure, with properties calculated at the GGA-PBE level.

## Properties
SG = Fm-3m (225)

POSCAR file:
```
Rb2GaMoBr6
1.0
-7.453 -0.656 -2.560
-1.773 -4.437 6.301
-5.999 2.057 4.723
Br Rb Mo Ga
6 2 1 1
direct
0.234 0.766 0.000
0.766 0.234 0.000
0.766 0.766 0.000
0.234 0.234 0.531
0.234 0.234 0.000
0.766 0.766 0.469
0.750 0.250 0.500
0.250 0.750 0.500
0.000 0.000 0.000
0.500 0.500 0.000
```

***

Entry 4:
Below is a geometry-optimized RbGaMoBr2 structure, with properties calculated at the GGA-PBE level.

## Properties
distance to the lowest polymorph of the same formula = 0.793 eV per atom
SG = P4/mmm (123)

POSCAR file:
```
RbGaMoBr2
1.0
5.771 0.000 0.000
0.000 6.465 0.000
0.000 0.000 5.771
Mo Br Rb Ga
1 2 1 1
direct
0.500 0.500 0.500
0.000 0.000 0.500
0.500 0.000 0.000
0.000 0.500 0.000
0.000 0.000 0.000
```

***

Entry 5:
Below is a geometry-optimized GaMo2RhBr structure, with properties calculated at the GGA-PBE level.

## Properties
SG = P4/mmm (123)

POSCAR file:
```
GaMo2RhBr
1.0
-2.761 -3.511 1.271
2.455 -2.836 -2.500
2.747 -0.839 3.650
Ga Mo Br Rh
1 2 1 1
direct
0.500 0.500 0.500
0.000 0.000 0.500
0.500 0.000 0.000
0.000 0.000 0.000
0.000 0.500 0.000
```

***

Entry 6:
Below is a geometry-optimized TiGa2MoBr structure, with properties calculated at the GGA-PBE level.

## Properties
SG = P4/mmm (123)

POSCAR file:
```
TiGa2MoBr
1.0
5.054 0.000 0.000
0.000 4.631 0.000
0.000 0.000 5.054
Ga Ti Br Mo
2 1 1 1
direct
0.000 0.000 0.500
0.500 0.000 0.000
0.000 0.500 0.000
0.500 0.500 0.500
0.000 0.000 0.000
```

***

no.,total magnetic moment (μB/f.u.),formation energy without anion corrections (kJ per mole of atoms)
1,1.5,38.9
2,2.3,-17.6
3,3.0,-98.2
4,6.0,58.9
5,0.8,131.6
6,0.0,37.6